[1]
VASP calculation (PBE-GGA) on CeTm3Te2 after structural relaxation.

Cell: 4.116 8.411 11.342 Å, 108.76 90.00 104.17°
Fractional positions:
Tm 0.377 0.754 0.340
Tm 0.717 0.435 0.380
Tm 0.940 0.879 0.595
Tm 0.060 0.121 0.405
Tm 0.623 0.246 0.660
Tm 0.283 0.565 0.620
Te 0.772 0.544 0.149
Te 0.228 0.456 0.851
Te 0.517 0.033 0.177
Te 0.483 0.967 0.823
Ce 0.118 0.237 0.040
Ce 0.882 0.763 0.960

Results
Volume   29.9 Å³/atom
SG   C2/m, No. 12
Formation energy without anion corrections   -0.80 eV/atom
E_tot   -5.075 eV per atom

***

[2]
VASP calculation (PBE-GGA) on TaCr3S8 after structural relaxation.

Cell: 6.759 6.759 6.759 Å, 61.48 61.48 61.48°
Fractional positions:
S 0.753 0.753 0.254
S 0.255 0.255 0.255
S 0.746 0.247 0.247
S 0.247 0.247 0.746
S 0.247 0.746 0.247
S 0.745 0.745 0.745
S 0.753 0.254 0.753
S 0.254 0.753 0.753
Cr 0.500 0.000 0.500
Cr 0.500 0.500 0.000
Cr 0.000 0.500 0.500
Ta 0.500 0.500 0.500

Results
Volume   18.8 Å³/atom
SG   R-3m, No. 166
Formation energy without anion corrections   -0.67 eV/atom
E_tot   -6.815 eV per atom

***

[3]
VASP calculation (PBE-GGA) on Li3Sc4PaS8 after structural relaxation.

Cell: 7.414 7.491 7.415 Å, 119.66 120.00 90.00°
Fractional positions:
Li 0.500 0.500 0.000
Li 0.500 0.500 0.500
Li 0.000 0.500 0.500
S 0.745 0.245 0.000
S 0.745 0.245 0.490
S 0.255 0.755 0.510
S 0.745 0.755 0.000
S 0.255 0.245 0.000
S 0.255 0.755 0.000
S 0.247 0.241 0.494
S 0.753 0.759 0.506
Sc 0.500 0.000 0.500
Sc 0.000 0.000 0.500
Sc 0.500 0.000 0.000
Sc 0.000 0.000 0.000
Pa 0.000 0.500 0.000

Results
Volume   18.3 Å³/atom
SG   R-3m, No. 166
Formation energy without anion corrections   -1.75 eV/atom
E_tot   -6.349 eV per atom

***

[4]
VASP calculation (PBE-GGA) on Sr2TlRhPb after structural relaxation.

Cell: 5.775 5.775 5.225 Å, 90.00 90.00 90.00°
Fractional positions:
Pb 0.000 0.000 0.500
Sr 0.000 0.500 0.000
Sr 0.500 0.000 0.000
Rh 0.000 0.000 0.000
Tl 0.500 0.500 0.500

Results
Volume   34.9 Å³/atom
Energy of formation   -292 meV per atom
SG   P4/mmm, No. 123
Energy above the most stable polymorph in this dataset   0.0 kJ per mole of atoms
E_tot   -3.650 eV per atom